A geometry-optimized TiTlCuRe2 structure. Source: the Alexandria database, functional PBE.

Output
**Total magnetization**: 2.2 μB/cell
**ΔH_f (0 K)**: 1863 meV/atom
**Electronic total energy**: -5.9878 eV/atom
**Symmetry**: P4/mmm, No. 123

CIF file:
```
data_TiTlCuRe2
_space_group_name_H-M_alt 'P 1'
_space_group_IT_number 1
_space_group_name_Hall 'P 1'
_cell_length_a 4.588
_cell_length_b 5.225
_cell_length_c 4.588
_cell_angle_alpha 90.00
_cell_angle_beta 90.00
_cell_angle_gamma 90.00
loop_
_atom_site_label
_atom_site_fract_x
_atom_site_fract_y
_atom_site_fract_z
Re1 0.000 0.000 0.500
Re2 0.500 0.000 0.000
Tl1 0.000 0.500 0.000
Cu1 0.500 0.500 0.500
Ti1 0.000 0.000 0.000
```